[1]
Density functional theory data (PBE-GGA) for an optimized crystal structure of Cs4PrU3O12.

abc: 7.724 7.724 7.724
angles: 109.47 109.47 109.47
Each line ends with the local moment (μB).
Element x y z (fractional)
O 0.250 0.500 0.750  -0.01
U 0.500 0.000 0.500  0.38
O 0.500 0.750 0.250  -0.01
Cs 0.500 0.000 0.000  0.00
O 0.250 0.750 0.500  -0.01
O 0.727 0.727 0.000  -0.01
O 0.727 0.000 0.727  -0.01
Cs 0.000 0.000 0.500  0.00
O 0.273 0.273 0.000  -0.01
O 0.000 0.273 0.273  -0.01
O 0.500 0.250 0.750  -0.01
O 0.750 0.500 0.250  -0.01
Cs 0.500 0.500 0.500  0.00
O 0.750 0.250 0.500  -0.01
Cs 0.000 0.500 0.000  0.00
O 0.273 0.000 0.273  -0.01
U 0.000 0.500 0.500  0.38
O 0.000 0.727 0.727  -0.01
Pr 0.000 0.000 0.000  0.00
U 0.500 0.500 0.000  0.38

As for the symmetry: Im-3m (229).

=====

[2]
Density functional theory data (PBE-GGA) for an optimized crystal structure of Cs3PrU2O9.

abc: 6.330 6.330 7.751
angles: 90.00 90.00 120.00
Element x y z (fractional)
Cs 0.333 0.667 0.662
Cs 0.667 0.333 0.338
O 0.500 0.000 0.000
O 0.500 0.500 0.000
O 0.361 0.181 0.686
O 0.819 0.181 0.686
O 0.181 0.361 0.314
Pr 0.000 0.000 0.500
O 0.000 0.500 0.000
U 0.667 0.333 0.839
U 0.333 0.667 0.161
Cs 0.000 0.000 0.000
O 0.639 0.819 0.314
O 0.819 0.639 0.686
O 0.181 0.819 0.314

As for the symmetry: P-3m1 (164).

=====

no.,size of the total moment (Bohr magnetons per cell),DFT total energy (eV/cell)
1,1.00,-157.692
2,0.00,-116.313